# 1
# Cs2InSn

A geometry-optimized Cs2InSn structure (PBE, the Alexandria database).

Cell: 7.334 9.006 12.148 Å, 87.60 90.09 90.06°
Positions (direct):
Sn 0.255 0.969 0.745
Cs 0.751 0.923 0.919
Cs 0.249 0.077 0.081
Sn 0.745 0.031 0.255
Cs 0.251 0.605 0.574
Cs 0.248 0.088 0.409
Cs 0.752 0.912 0.591
In 0.548 0.747 0.251
Sn 0.755 0.451 0.755
Cs 0.250 0.594 0.914
Cs 0.750 0.406 0.086
Cs 0.749 0.395 0.426
In 0.452 0.253 0.749
Sn 0.245 0.549 0.245
In 0.943 0.749 0.252
In 0.057 0.251 0.748

* energy above the most stable polymorph in this dataset: 0.00 kJ per mole of atoms
* density of states at the Fermi level: 6.50 states/eV per cell
* total moment: 0.0 μB/cell
* energy relative to the elements: -0.1657 eV/atom

# 2
# CsIn4Sn3

A geometry-optimized CsIn4Sn3 structure (PBE, the Alexandria database).

Cell: 5.521 5.521 8.647 Å, 90.00 90.00 90.00°
Positions (direct):
Sn 0.500 0.500 0.328
In 0.000 0.500 0.822
In 0.500 0.000 0.178
Sn 0.000 0.000 0.000
Sn 0.500 0.500 0.672
In 0.000 0.500 0.178
In 0.500 0.000 0.822
Cs 0.000 0.000 0.500

* density of states at the Fermi level: 4.53 states/eV per cell
* total moment: 0.0 μB/cell
* energy relative to the elements: -0.0749 eV/atom

# 3
# CsIn5Sn2

A geometry-optimized CsIn5Sn2 structure (PBE, the Alexandria database).

Cell: 4.697 8.020 8.020 Å, 68.54 72.97 72.97°
Positions (direct):
Sn 0.243 0.257 0.257
In 0.366 0.444 0.824
In 0.634 0.176 0.556
In 0.366 0.824 0.444
Sn 0.757 0.743 0.743
In 0.634 0.556 0.176
In 0.000 0.500 0.500
Cs 0.000 0.000 0.000

* density of states at the Fermi level: 3.94 states/eV per cell
* total moment: 0.0 μB/cell
* energy relative to the elements: -0.0382 eV/atom

# 4
# CsIn3Sn3

A geometry-optimized CsIn3Sn3 structure (PBE, the Alexandria database).

Cell: 7.908 7.908 11.217 Å, 69.36 69.36 60.00°
Positions (direct):
Sn 0.899 0.225 0.281
In 0.130 0.491 0.584
Sn 0.101 0.775 0.719
In 0.795 0.130 0.584
In 0.205 0.870 0.416
Sn 0.775 0.406 0.719
Cs 0.669 0.669 0.994
Cs 0.331 0.331 0.006
In 0.870 0.509 0.416
In 0.509 0.205 0.416
Sn 0.594 0.899 0.281
Sn 0.225 0.594 0.281
Sn 0.406 0.101 0.719
In 0.491 0.795 0.584

* energy above the most stable polymorph in this dataset: 4.15 kJ per mole of atoms
* density of states at the Fermi level: 2.75 states/eV per cell
* total moment: 0.0 μB/cell
* energy relative to the elements: -0.0073 eV/atom

# 5
# CsInSn

A geometry-optimized CsInSn structure (PBE, the Alexandria database).

Cell: 3.904 3.904 7.922 Å, 104.27 104.27 90.00°
Positions (direct):
Cs 0.000 0.000 0.000
Sn 0.695 0.695 0.391
In 0.304 0.304 0.609

* density of states at the Fermi level: 2.87 states/eV per cell
* total moment: 0.0 μB/cell
* energy relative to the elements: -0.0461 eV/atom

# 6
# CsInSn3

A geometry-optimized CsInSn3 structure (PBE, the Alexandria database).

Cell: 6.228 6.228 6.228 Å, 90.00 90.00 90.00°
Positions (direct):
Sn 0.500 0.000 0.000
In 0.500 0.500 0.500
Sn 0.000 0.000 0.500
Sn 0.000 0.500 0.000
Cs 0.000 0.000 0.000

* energy above the most stable polymorph in this dataset: 136.48 kJ per mole of atoms
* density of states at the Fermi level: 4.18 states/eV per cell
* total moment: 0.0 μB/cell
* energy relative to the elements: 1.2603 eV/atom